# 1
{"formula": "Zr2PtAu", "functional": "GGA-PBE", "state": "optimized geometry", "dft_energy_ev_per_atom": -7.3300, "space_group": "No. 6", "vol_a3_per_cell": 76, "dos_at_fermi_per_ev_cell": 2.7, "e_form_mev_per_atom": -726.4, "lattice_angstrom": [[2.9749, 0.0000, 0.0000], [0.0000, 4.9313, 0.0000], [-0.0832, 0.0000, 5.2083]], "species": ["Zr", "Zr", "Pt", "Au"], "fractional_positions": [[0.0000, 0.0000, 0.0000], [0.0306, 0.5000, 0.5941], [0.5210, 0.0000, 0.4884], [0.5118, 0.5000, 0.1148]]}

---

# 2
{"formula": "CsScHgBi2", "functional": "GGA-PBE", "state": "optimized geometry", "dft_energy_ev_per_atom": -3.3476, "space_group": "No. 123", "vol_a3_per_cell": 195, "dos_at_fermi_per_ev_cell": 0.8, "e_form_mev_per_atom": -297.8, "lattice_angstrom": [[5.6814, 0.0000, 0.0000], [0.0000, 5.6814, 0.0000], [0.0000, 0.0000, 6.0440]], "species": ["Cs", "Sc", "Hg", "Bi", "Bi"], "fractional_positions": [[0.0000, 0.0000, 0.0000], [0.5000, 0.5000, 0.5000], [0.5000, 0.5000, 0.0000], [0.0000, 0.5000, 0.5000], [0.5000, 0.0000, 0.5000]]}

---

# 3
{"formula": "CaY2Ni", "functional": "GGA-PBE", "state": "optimized geometry", "de_polymorph_mev_per_atom": 52, "dft_energy_ev_per_atom": -5.2635, "space_group": "No. 71", "vol_a3_per_cell": 221, "dos_at_fermi_per_ev_cell": 7.8, "e_form_mev_per_atom": -85.8, "lattice_angstrom": [[3.5840, 0.0000, 0.0000], [0.0000, 5.6057, 0.0000], [0.0000, 0.0000, 10.9800]], "species": ["Ca", "Ca", "Y", "Y", "Y", "Y", "Ni", "Ni"], "fractional_positions": [[0.0000, 0.0000, 0.0000], [0.5000, 0.5000, 0.5000], [0.0000, 0.5000, 0.1877], [0.0000, 0.5000, 0.8123], [0.5000, 0.0000, 0.3123], [0.5000, 0.0000, 0.6877], [0.0000, 0.0000, 0.5000], [0.5000, 0.5000, 0.0000]]}

---

# 4
{"formula": "DyInGa2Ni5", "functional": "GGA-PBE", "state": "optimized geometry", "dft_energy_ev_per_atom": -4.8458, "space_group": "No. 123", "vol_a3_per_cell": 138, "dos_at_fermi_per_ev_cell": 3.0, "e_form_mev_per_atom": -145.7, "lattice_angstrom": [[3.9397, 0.0000, 0.0000], [0.0000, 3.9397, 0.0000], [0.0000, 0.0000, 8.8766]], "species": ["Dy", "In", "Ga", "Ga", "Ni", "Ni", "Ni", "Ni", "Ni"], "fractional_positions": [[0.0000, 0.0000, 0.0000], [0.0000, 0.0000, 0.5000], [0.5000, 0.5000, 0.3589], [0.5000, 0.5000, 0.6411], [0.0000, 0.5000, 0.2141], [0.0000, 0.5000, 0.7859], [0.5000, 0.0000, 0.2141], [0.5000, 0.0000, 0.7859], [0.5000, 0.5000, 0.0000]]}

---

# 5
{"formula": "CoAs2Br", "functional": "GGA-PBE", "state": "optimized geometry", "de_polymorph_mev_per_atom": 117, "dft_energy_ev_per_atom": -4.5269, "space_group": "No. 8", "vol_a3_per_cell": 189, "raw_formation_energy_ev_per_fu": 0.0, "dos_at_fermi_per_ev_cell": 2.8, "lattice_angstrom": [[8.1489, 0.0000, 0.0000], [0.0000, 3.3343, 0.0000], [-2.3705, 0.0000, 6.9420]], "species": ["Co", "Co", "As", "As", "As", "As", "Br", "Br"], "fractional_positions": [[0.0000, 0.0000, 0.0000], [0.5000, 0.5000, 0.0000], [0.0703, 0.5000, 0.2685], [0.2305, 0.5000, 0.0558], [0.5703, 0.0000, 0.2685], [0.7305, 0.0000, 0.0558], [0.3944, 0.0000, 0.7344], [0.8944, 0.5000, 0.7344]]}

---

# 6
{"formula": "MgIrIN2", "functional": "GGA-PBE", "state": "optimized geometry", "de_polymorph_mev_per_atom": 0, "dft_energy_ev_per_atom": -5.0614, "space_group": "No. 123", "vol_a3_per_cell": 111, "raw_formation_energy_ev_per_fu": 3.3, "dos_at_fermi_per_ev_cell": 1.5, "lattice_angstrom": [[3.8411, 0.0000, 0.0000], [0.0000, 3.8411, 0.0000], [0.0000, 0.0000, 7.4976]], "species": ["Mg", "Ir", "I", "N", "N"], "fractional_positions": [[0.0000, 0.0000, 0.0000], [0.5000, 0.5000, 0.5000], [0.5000, 0.5000, 0.0000], [0.0000, 0.5000, 0.5000], [0.5000, 0.0000, 0.5000]]}

---

# 7
{"formula": "Cs2Rb2Tl", "functional": "GGA-PBE", "state": "optimized geometry", "de_polymorph_mev_per_atom": 101, "dft_energy_ev_per_atom": -1.1207, "space_group": "No. 127", "vol_a3_per_cell": 790, "dos_at_fermi_per_ev_cell": 10.5, "e_form_mev_per_atom": 81.0, "lattice_angstrom": [[10.0102, 0.0000, 0.0000], [0.0000, 10.0102, 0.0000], [0.0000, 0.0000, 7.8882]], "species": ["Cs", "Cs", "Cs", "Cs", "Rb", "Rb", "Rb", "Rb", "Tl", "Tl"], "fractional_positions": [[0.1864, 0.3136, 0.0000], [0.3136, 0.8136, 0.0000], [0.6864, 0.1864, 0.0000], [0.8136, 0.6864, 0.0000], [0.1582, 0.6582, 0.5000], [0.3418, 0.1582, 0.5000], [0.6582, 0.8418, 0.5000], [0.8418, 0.3418, 0.5000], [0.0000, 0.0000, 0.5000], [0.5000, 0.5000, 0.5000]]}

---

# 8
{"formula": "BaAlPt2", "functional": "GGA-PBE", "state": "optimized geometry", "dft_energy_ev_per_atom": -4.8480, "space_group": "No. 25", "vol_a3_per_cell": 87, "dos_at_fermi_per_ev_cell": 2.1, "e_form_mev_per_atom": -411.3, "lattice_angstrom": [[3.0787, 0.0000, 0.0000], [0.0000, 4.0054, 0.0000], [0.0000, 0.0000, 7.0931]], "species": ["Ba", "Al", "Pt", "Pt"], "fractional_positions": [[0.0000, 0.0000, 0.0000], [0.5000, 0.5000, 0.6246], [0.0000, 0.0000, 0.5165], [0.5000, 0.5000, 0.2793]]}

---

# 9
{"formula": "Na2TlPd", "functional": "GGA-PBE", "state": "optimized geometry", "dft_energy_ev_per_atom": -2.5290, "space_group": "No. 122", "vol_a3_per_cell": 375, "dos_at_fermi_per_ev_cell": 6.7, "e_form_mev_per_atom": 20.3, "lattice_angstrom": [[4.1461, 0.0000, 0.0000], [0.0000, 4.1461, 0.0000], [0.0000, 0.0000, 21.8178]], "species": ["Na", "Na", "Na", "Na", "Na", "Na", "Na", "Na", "Tl", "Tl", "Tl", "Tl", "Pd", "Pd", "Pd", "Pd"], "fractional_positions": [[0.2340, 0.2500, 0.1250], [0.2500, 0.7340, 0.3750], [0.2500, 0.7660, 0.8750], [0.2660, 0.2500, 0.6250], [0.7340, 0.7500, 0.6250], [0.7500, 0.2340, 0.8750], [0.7500, 0.2660, 0.3750], [0.7660, 0.7500, 0.1250], [0.0000, 0.0000, 0.5000], [0.0000, 0.5000, 0.7500], [0.5000, 0.0000, 0.2500], [0.5000, 0.5000, 0.0000], [0.0000, 0.0000, 0.0000], [0.0000, 0.5000, 0.2500], [0.5000, 0.0000, 0.7500], [0.5000, 0.5000, 0.5000]]}

---

# 10
{"formula": "Cs4Tb3YTe8", "functional": "GGA-PBE", "state": "optimized geometry", "dft_energy_ev_per_atom": -4.4521, "space_group": "No. 166", "vol_a3_per_cell": 645, "raw_formation_energy_ev_per_fu": -22.3, "lattice_angstrom": [[4.5669, 2.6367, 8.9226], [-4.5669, 2.6367, 8.9226], [0.0000, -5.2734, 8.9226]], "species": ["Cs", "Cs", "Cs", "Cs", "Tb", "Tb", "Tb", "Y", "Te", "Te", "Te", "Te", "Te", "Te", "Te", "Te"], "fractional_positions": [[0.0000, 0.0000, 0.0000], [0.0000, 0.5000, 0.5000], [0.5000, 0.0000, 0.5000], [0.5000, 0.5000, 0.0000], [0.0000, 0.0000, 0.5000], [0.0000, 0.5000, 0.0000], [0.5000, 0.0000, 0.0000], [0.5000, 0.5000, 0.5000], [0.2301, 0.2301, 0.2301], [0.2306, 0.7297, 0.7297], [0.2703, 0.2703, 0.7694], [0.2703, 0.7694, 0.2703], [0.7297, 0.2306, 0.7297], [0.7297, 0.7297, 0.2306], [0.7694, 0.2703, 0.2703], [0.7699, 0.7699, 0.7699]]}

---

# 11
{"formula": "U2H2SCl", "functional": "GGA-PBE", "state": "optimized geometry", "dft_energy_ev_per_atom": -6.7109, "space_group": "No. 164", "vol_a3_per_cell": 95, "dos_at_fermi_per_ev_cell": 5.8, "lattice_angstrom": [[3.7135, 0.0000, 0.0000], [-1.8567, 3.2160, 0.0000], [0.0000, 0.0000, 7.9273]], "species": ["U", "U", "H", "H", "S", "Cl"], "fractional_positions": [[0.3333, 0.6667, 0.2142], [0.6667, 0.3333, 0.7858], [0.3333, 0.6667, 0.7328], [0.6667, 0.3333, 0.2672], [0.0000, 0.0000, 0.0000], [0.0000, 0.0000, 0.5000]]}

---

# 12
{"formula": "Co2Sb", "functional": "GGA-PBE", "state": "optimized geometry", "dft_energy_ev_per_atom": -5.8175, "space_group": "No. 227", "vol_a3_per_cell": 89, "raw_formation_energy_ev_per_fu": 0.9, "dos_at_fermi_per_ev_cell": 8.7, "lattice_angstrom": [[0.0000, 3.5428, 3.5428], [3.5428, 0.0000, 3.5428], [3.5428, 3.5428, 0.0000]], "species": ["Co", "Co", "Co", "Co", "Sb", "Sb"], "fractional_positions": [[0.0000, 0.0000, 0.0000], [0.0000, 0.0000, 0.5000], [0.0000, 0.5000, 0.0000], [0.5000, 0.0000, 0.0000], [0.3750, 0.3750, 0.3750], [0.6250, 0.6250, 0.6250]]}